## Ag4I2Br9 (GGA-PBE)

Data for crystalline Ag4I2Br9 at its relaxed geometry.

Computed properties:
Energy relative to the elements, uncorrected, meV/atom: -163
Calculated total energy, eV per atom: -2.1336

Geometry as POSCAR:
```
Ag4I2Br9
1.0
7.071 0.000 0.000
2.577 6.898 0.000
0.129 0.793 22.664
Ag I Br
8 4 18
Direct
0.105 0.432 0.286
0.123 0.206 0.990
0.185 0.053 0.823
0.388 0.214 0.446
0.612 0.786 0.554
0.815 0.947 0.177
0.877 0.794 0.010
0.895 0.568 0.714
0.261 0.747 0.327
0.460 0.564 0.138
0.540 0.436 0.862
0.739 0.253 0.673
0.022 0.058 0.261
0.038 0.367 0.399
0.114 0.911 0.926
0.186 0.471 0.058
0.231 0.369 0.780
0.259 0.972 0.507
0.430 0.274 0.211
0.464 0.548 0.608
0.498 0.147 0.929
0.502 0.853 0.071
0.536 0.452 0.392
0.570 0.726 0.789
0.741 0.028 0.493
0.769 0.631 0.220
0.814 0.529 0.942
0.886 0.089 0.074
0.962 0.633 0.601
0.978 0.942 0.739
```